[1]
The following is a PBE calculation of Cs2Np2TlO7 after structural relaxation, from the Alexandria database.

Output
Energy in eV per atom: -7.755

```
Cs2Np2TlO7
1.0
-2.177 2.177 12.057
2.177 -2.177 12.057
2.177 2.177 -12.057
Cs Np Tl O
2 2 1 7
direct
0.189 0.189 0.000 Cs
0.811 0.811 0.000 Cs
0.411 0.411 0.000 Np
0.589 0.589 0.000 Np
0.000 0.000 0.000 Tl
0.090 0.590 0.500 O
0.330 0.330 0.000 O
0.410 0.910 0.500 O
0.500 0.500 0.000 O
0.590 0.090 0.500 O
0.670 0.670 0.000 O
0.910 0.410 0.500 O
```

---

[2]
The following is a PBE calculation of DyY2Ru after structural relaxation, from the Alexandria database.

Output
Relative energy among the computed polymorphs in meV per atom: 0
Formation energy in meV/atom: -313

```
DyY2Ru
1.0
7.308 0.000 0.000
0.000 9.217 0.000
0.000 0.000 6.360
Dy Y Ru
4 8 4
direct
0.043 0.250 0.134 Dy
0.457 0.750 0.634 Dy
0.543 0.250 0.366 Dy
0.957 0.750 0.866 Dy
0.176 0.064 0.670 Y
0.176 0.436 0.670 Y
0.324 0.564 0.170 Y
0.324 0.936 0.170 Y
0.676 0.064 0.830 Y
0.676 0.436 0.830 Y
0.824 0.564 0.330 Y
0.824 0.936 0.330 Y
0.115 0.750 0.467 Ru
0.385 0.250 0.967 Ru
0.615 0.750 0.033 Ru
0.885 0.250 0.533 Ru
```

---

[3]
The following is a PBE calculation of Na2YOsC after structural relaxation, from the Alexandria database.

Output
Formation energy in meV/atom: 1211

```
Na2YOsC
1.0
4.596 0.000 0.000
0.000 4.596 0.000
0.000 0.000 4.911
Na Y Os C
2 1 1 1
direct
0.000 0.500 0.000 Na
0.500 0.000 0.000 Na
0.000 0.000 0.500 Y
0.500 0.500 0.500 Os
0.000 0.000 0.000 C
```

---

[4]
The following is a PBE calculation of SmHfIn6 after structural relaxation, from the Alexandria database.

Output
Formation energy in meV/atom: -252

```
SmHfIn6
1.0
4.615 0.000 0.000
0.000 4.615 0.000
0.000 0.000 9.104
Sm Hf In
1 1 6
direct
0.000 0.000 0.000 Sm
0.000 0.000 0.500 Hf
0.000 0.500 0.261 In
0.000 0.500 0.739 In
0.500 0.000 0.261 In
0.500 0.000 0.739 In
0.500 0.500 0.000 In
0.500 0.500 0.500 In
```

---

[5]
The following is a PBE calculation of ZnPRu after structural relaxation, from the Alexandria database.

Output
Formation energy in meV/atom: 127

```
ZnPRu
1.0
0.000 2.443 6.273
1.479 0.000 6.273
1.479 2.443 0.000
Zn P Ru
1 1 1
direct
0.000 0.000 0.000 Zn
0.690 0.690 0.310 P
0.327 0.327 0.673 Ru
```

---

[6]
The following is a PBE calculation of PmTcGe2Ru after structural relaxation, from the Alexandria database.

Output
Formation energy in meV/atom: -523

```
PmTcGe2Ru
1.0
-2.143 2.143 5.092
2.143 -2.143 5.092
2.143 2.143 -5.092
Pm Tc Ge Ru
1 1 2 1
direct
0.000 0.000 0.000 Pm
0.750 0.250 0.500 Tc
0.371 0.371 0.000 Ge
0.629 0.629 0.000 Ge
0.250 0.750 0.500 Ru
```

---

[7]
The following is a PBE calculation of Rb2Np2S5 after structural relaxation, from the Alexandria database.

Output
Energy in eV per atom: -6.691

```
Rb2Np2S5
1.0
8.075 -3.798 0.000
8.075 3.798 0.000
0.000 0.000 7.600
Rb Np S
4 4 10
direct
0.207 0.207 0.000 Rb
0.293 0.293 0.500 Rb
0.707 0.707 0.500 Rb
0.793 0.793 0.000 Rb
0.164 0.836 0.664 Np
0.336 0.664 0.164 Np
0.664 0.336 0.836 Np
0.836 0.164 0.336 Np
0.000 0.000 0.000 S
0.039 0.751 0.356 S
0.249 0.961 0.356 S
0.251 0.539 0.856 S
0.461 0.749 0.856 S
0.500 0.500 0.500 S
0.539 0.251 0.144 S
0.749 0.461 0.144 S
0.751 0.039 0.644 S
0.961 0.249 0.644 S
```

---

[8]
The following is a PBE calculation of InTeI2N after structural relaxation, from the Alexandria database.

Output
Relative energy among the computed polymorphs in meV per atom: 654

```
InTeI2N
1.0
6.031 0.000 0.000
0.000 6.031 0.000
0.000 0.000 5.799
In Te I N
1 1 2 1
direct
0.000 0.000 0.000 In
0.000 0.000 0.500 Te
0.000 0.500 0.000 I
0.500 0.000 0.000 I
0.500 0.500 0.500 N
```